# Rb2BeReI6 PBE relaxed
# Formation energy without anion corrections ... -0.36 eV per atom
# Symmetry ... No. 139
data_Rb2BeReI6
_symmetry_space_group_name_H-M 'P 1'
_symmetry_Int_Tables_number 1
_symmetry_space_group_name_Hall 'P 1'
_cell_length_a 8.3381
_cell_length_b 8.3381
_cell_length_c 8.3381
_cell_angle_alpha 117.08
_cell_angle_beta 117.08
_cell_angle_gamma 95.13
loop_
_atom_site_label
_atom_site_fract_x
_atom_site_fract_y
_atom_site_fract_z
_atom_site_occupancy
Rb1 0.2500 0.7500 0.5000 1
Rb2 0.7500 0.2500 0.5000 1
Be1 0.0000 0.0000 0.0000 1
Re1 0.5000 0.5000 0.0000 1
I1 0.2009 0.2009 0.0000 1
I2 0.2792 0.2792 0.5584 1
I3 0.2792 0.7208 0.0000 1
I4 0.7208 0.2792 0.0000 1
I5 0.7208 0.7208 0.4416 1
I6 0.7991 0.7991 0.0000 1

---

# Zr2CdMo PBE relaxed
# Symmetry ... No. 123
# ΔE_f ... 7 meV per atom
data_Zr2CdMo
_symmetry_space_group_name_H-M 'P 1'
_symmetry_Int_Tables_number 1
_symmetry_space_group_name_Hall 'P 1'
_cell_length_a 4.7415
_cell_length_b 4.7415
_cell_length_c 3.5763
_cell_angle_alpha 90.00
_cell_angle_beta 90.00
_cell_angle_gamma 90.00
loop_
_atom_site_label
_atom_site_fract_x
_atom_site_fract_y
_atom_site_fract_z
_atom_site_occupancy
Zr1 0.0000 0.5000 0.0000 1
Zr2 0.5000 0.0000 0.0000 1
Cd1 0.0000 0.0000 0.5000 1
Mo1 0.5000 0.5000 0.5000 1

---

# LaDy2Lu PBE relaxed
# Symmetry ... No. 123
# ΔE_f ... 36 meV per atom
# Energy relative to the lowest polymorph listed for this composition ... 0.6 kJ/mol of atoms
data_LaDy2Lu
_symmetry_space_group_name_H-M 'P 1'
_symmetry_Int_Tables_number 1
_symmetry_space_group_name_Hall 'P 1'
_cell_length_a 5.0301
_cell_length_b 5.0301
_cell_length_c 5.1174
_cell_angle_alpha 90.00
_cell_angle_beta 90.00
_cell_angle_gamma 90.00
loop_
_atom_site_label
_atom_site_fract_x
_atom_site_fract_y
_atom_site_fract_z
_atom_site_occupancy
La1 0.0000 0.0000 0.0000 1
Dy1 0.0000 0.5000 0.5000 1
Dy2 0.5000 0.0000 0.5000 1
Lu1 0.5000 0.5000 0.0000 1

---

# Ca4BiSbP PBE relaxed
# Formation energy without anion corrections ... -0.89 eV per atom
# Symmetry ... No. 63
data_Ca4BiSbP
_symmetry_space_group_name_H-M 'P 1'
_symmetry_Int_Tables_number 1
_symmetry_space_group_name_Hall 'P 1'
_cell_length_a 9.0243
_cell_length_b 9.0243
_cell_length_c 7.4770
_cell_angle_alpha 90.00
_cell_angle_beta 90.00
_cell_angle_gamma 131.07
loop_
_atom_site_label
_atom_site_fract_x
_atom_site_fract_y
_atom_site_fract_z
_atom_site_occupancy
Ca1 0.0000 0.5000 0.0000 1
Ca2 0.0000 0.5000 0.5000 1
Ca3 0.0758 0.9242 0.7500 1
Ca4 0.4195 0.5805 0.7500 1
Ca5 0.5000 0.0000 0.0000 1
Ca6 0.5000 0.0000 0.5000 1
Ca7 0.5805 0.4195 0.2500 1
Ca8 0.9242 0.0758 0.2500 1
Bi1 0.3867 0.6133 0.2500 1
Bi2 0.6133 0.3867 0.7500 1
Sb1 0.1163 0.8837 0.2500 1
Sb2 0.8837 0.1163 0.7500 1
P1 0.2480 0.7520 0.7500 1
P2 0.7520 0.2480 0.2500 1

---

# Li5InAu PBE relaxed
# Symmetry ... No. 123
# ΔE_f ... -233 meV per atom
# Energy relative to the lowest polymorph listed for this composition ... 2.3 kJ/mol of atoms
data_Li5InAu
_symmetry_space_group_name_H-M 'P 1'
_symmetry_Int_Tables_number 1
_symmetry_space_group_name_Hall 'P 1'
_cell_length_a 3.8819
_cell_length_b 3.8819
_cell_length_c 8.4712
_cell_angle_alpha 90.00
_cell_angle_beta 90.00
_cell_angle_gamma 90.00
loop_
_atom_site_label
_atom_site_fract_x
_atom_site_fract_y
_atom_site_fract_z
_atom_site_occupancy
Li1 0.0000 0.0000 0.0000 1
Li2 0.0000 0.5000 0.2428 1
Li3 0.0000 0.5000 0.7572 1
Li4 0.5000 0.0000 0.2428 1
Li5 0.5000 0.0000 0.7572 1
In1 0.0000 0.0000 0.5000 1
Au1 0.5000 0.5000 0.0000 1

---

# NbAs2Ir2 PBE relaxed
# Symmetry ... No. 139
# ΔE_f ... 107 meV per atom
# Energy relative to the lowest polymorph listed for this composition ... 11.0 kJ/mol of atoms
data_NbAs2Ir2
_symmetry_space_group_name_H-M 'P 1'
_symmetry_Int_Tables_number 1
_symmetry_space_group_name_Hall 'P 1'
_cell_length_a 6.4670
_cell_length_b 6.4670
_cell_length_c 6.4670
_cell_angle_alpha 145.44
_cell_angle_beta 145.44
_cell_angle_gamma 49.67
loop_
_atom_site_label
_atom_site_fract_x
_atom_site_fract_y
_atom_site_fract_z
_atom_site_occupancy
Nb1 0.0000 0.0000 0.0000 1
As1 0.2500 0.7500 0.5000 1
As2 0.7500 0.2500 0.5000 1
Ir1 0.3915 0.3915 0.0000 1
Ir2 0.6085 0.6085 0.0000 1

---

# ReOs3 PBE relaxed
# Symmetry ... No. 225
# ΔE_f ... 742 meV per atom
# Energy relative to the lowest polymorph listed for this composition ... 79.7 kJ/mol of atoms
data_ReOs3
_symmetry_space_group_name_H-M 'P 1'
_symmetry_Int_Tables_number 1
_symmetry_space_group_name_Hall 'P 1'
_cell_length_a 4.3818
_cell_length_b 4.3818
_cell_length_c 4.3818
_cell_angle_alpha 60.00
_cell_angle_beta 60.00
_cell_angle_gamma 60.00
loop_
_atom_site_label
_atom_site_fract_x
_atom_site_fract_y
_atom_site_fract_z
_atom_site_occupancy
Re1 0.0000 0.0000 0.0000 1
Os1 0.2500 0.2500 0.2500 1
Os2 0.5000 0.5000 0.5000 1
Os3 0.7500 0.7500 0.7500 1

---

# Mg12Cu5Pb3 PBE relaxed
# Symmetry ... No. 230
# ΔE_f ... 278 meV per atom
data_Mg12Cu5Pb3
_symmetry_space_group_name_H-M 'P 1'
_symmetry_Int_Tables_number 1
_symmetry_space_group_name_Hall 'P 1'
_cell_length_a 13.8691
_cell_length_b 13.8691
_cell_length_c 13.8691
_cell_angle_alpha 109.47
_cell_angle_beta 109.47
_cell_angle_gamma 109.47
loop_
_atom_site_label
_atom_site_fract_x
_atom_site_fract_y
_atom_site_fract_z
_atom_site_occupancy
Mg1 0.0374 0.2090 0.1136 1
Mg2 0.0374 0.3283 0.9238 1
Mg3 0.0762 0.6136 0.4045 1
Mg4 0.0762 0.9626 0.6717 1
Mg5 0.0955 0.7090 0.6717 1
Mg6 0.0955 0.8864 0.4238 1
Mg7 0.1136 0.0374 0.2090 1
Mg8 0.1136 0.5762 0.9045 1
Mg9 0.1717 0.2090 0.5955 1
Mg10 0.1717 0.4626 0.5762 1
Mg11 0.2090 0.1136 0.0374 1
Mg12 0.2090 0.5955 0.1717 1
Mg13 0.2910 0.3283 0.9045 1
Mg14 0.2910 0.4626 0.3864 1
Mg15 0.3283 0.9045 0.2910 1
Mg16 0.3283 0.9238 0.0374 1
Mg17 0.3864 0.2910 0.4626 1
Mg18 0.3864 0.5955 0.9238 1
Mg19 0.4045 0.0762 0.6136 1
Mg20 0.4045 0.8283 0.7910 1
Mg21 0.4238 0.0955 0.8864 1
Mg22 0.4238 0.8283 0.5374 1
Mg23 0.4626 0.3864 0.2910 1
Mg24 0.4626 0.5762 0.1717 1
Mg25 0.5374 0.4238 0.8283 1
Mg26 0.5374 0.6136 0.7090 1
Mg27 0.5762 0.1717 0.4626 1
Mg28 0.5762 0.9045 0.1136 1
Mg29 0.5955 0.1717 0.2090 1
Mg30 0.5955 0.9238 0.3864 1
Mg31 0.6136 0.4045 0.0762 1
Mg32 0.6136 0.7090 0.5374 1
Mg33 0.6717 0.0762 0.9626 1
Mg34 0.6717 0.0955 0.7090 1
Mg35 0.7090 0.5374 0.6136 1
Mg36 0.7090 0.6717 0.0955 1
Mg37 0.7910 0.4045 0.8283 1
Mg38 0.7910 0.8864 0.9626 1
Mg39 0.8283 0.5374 0.4238 1
Mg40 0.8283 0.7910 0.4045 1
Mg41 0.8864 0.4238 0.0955 1
Mg42 0.8864 0.9626 0.7910 1
Mg43 0.9045 0.1136 0.5762 1
Mg44 0.9045 0.2910 0.3283 1
Mg45 0.9238 0.0374 0.3283 1
Mg46 0.9238 0.3864 0.5955 1
Mg47 0.9626 0.6717 0.0762 1
Mg48 0.9626 0.7910 0.8864 1
Cu1 0.0000 0.0000 0.0000 1
Cu2 0.0000 0.0000 0.5000 1
Cu3 0.0000 0.5000 0.0000 1
Cu4 0.0000 0.5000 0.5000 1
Cu5 0.1250 0.7500 0.8750 1
Cu6 0.1250 0.8750 0.2500 1
Cu7 0.2500 0.1250 0.8750 1
Cu8 0.2500 0.6250 0.3750 1
Cu9 0.3750 0.2500 0.6250 1
Cu10 0.3750 0.6250 0.7500 1
Cu11 0.5000 0.0000 0.0000 1
Cu12 0.5000 0.0000 0.5000 1
Cu13 0.5000 0.5000 0.0000 1
Cu14 0.5000 0.5000 0.5000 1
Cu15 0.6250 0.3750 0.2500 1
Cu16 0.6250 0.7500 0.3750 1
Cu17 0.7500 0.3750 0.6250 1
Cu18 0.7500 0.8750 0.1250 1
Cu19 0.8750 0.1250 0.7500 1
Cu20 0.8750 0.2500 0.1250 1
Pb1 0.1250 0.2500 0.3750 1
Pb2 0.1250 0.3750 0.7500 1
Pb3 0.2500 0.3750 0.1250 1
Pb4 0.2500 0.8750 0.6250 1
Pb5 0.3750 0.1250 0.2500 1
Pb6 0.3750 0.7500 0.1250 1
Pb7 0.6250 0.2500 0.8750 1
Pb8 0.6250 0.8750 0.7500 1
Pb9 0.7500 0.1250 0.3750 1
Pb10 0.7500 0.6250 0.8750 1
Pb11 0.8750 0.6250 0.2500 1
Pb12 0.8750 0.7500 0.6250 1

---

# AcMnN PBE relaxed
# Formation energy without anion corrections ... -0.53 eV per atom
# Symmetry ... No. 62
data_AcMnN
_symmetry_space_group_name_H-M 'P 1'
_symmetry_Int_Tables_number 1
_symmetry_space_group_name_Hall 'P 1'
_cell_length_a 9.4225
_cell_length_b 4.6844
_cell_length_c 5.3423
_cell_angle_alpha 90.00
_cell_angle_beta 90.00
_cell_angle_gamma 90.00
loop_
_atom_site_label
_atom_site_fract_x
_atom_site_fract_y
_atom_site_fract_z
_atom_site_occupancy
Ac1 0.1600 0.2500 0.0138 1
Ac2 0.3400 0.7500 0.5138 1
Ac3 0.6600 0.2500 0.4862 1
Ac4 0.8400 0.7500 0.9862 1
Mn1 0.0000 0.0000 0.5000 1
Mn2 0.0000 0.5000 0.5000 1
Mn3 0.5000 0.0000 0.0000 1
Mn4 0.5000 0.5000 0.0000 1
N1 0.0839 0.7500 0.2509 1
N2 0.4161 0.2500 0.7509 1
N3 0.5839 0.7500 0.2491 1
N4 0.9161 0.2500 0.7491 1

---

# Rb11Hg2Au PBE relaxed
# Symmetry ... No. 72
# ΔE_f ... -55 meV per atom
data_Rb11Hg2Au
_symmetry_space_group_name_H-M 'P 1'
_symmetry_Int_Tables_number 1
_symmetry_space_group_name_Hall 'P 1'
_cell_length_a 14.2879
_cell_length_b 14.2879
_cell_length_c 14.2879
_cell_angle_alpha 123.84
_cell_angle_beta 105.54
_cell_angle_gamma 100.09
loop_
_atom_site_label
_atom_site_fract_x
_atom_site_fract_y
_atom_site_fract_z
_atom_site_occupancy
Rb1 0.0000 0.0000 0.0000 1
Rb2 0.0338 0.4487 0.8109 1
Rb3 0.0775 0.8200 0.6419 1
Rb4 0.1378 0.9487 0.4148 1
Rb5 0.1781 0.4356 0.3581 1
Rb6 0.2185 0.8764 0.0949 1
Rb7 0.2815 0.3764 0.6579 1
Rb8 0.3219 0.6800 0.2575 1
Rb9 0.3622 0.7770 0.8109 1
Rb10 0.4225 0.0644 0.7425 1
Rb11 0.4662 0.2770 0.4148 1
Rb12 0.5000 0.5000 0.0000 1
Rb13 0.5338 0.7230 0.5852 1
Rb14 0.5775 0.9356 0.2575 1
Rb15 0.6378 0.2230 0.1891 1
Rb16 0.6781 0.3200 0.7425 1
Rb17 0.7185 0.6236 0.3421 1
Rb18 0.7815 0.1236 0.9051 1
Rb19 0.8219 0.5644 0.6419 1
Rb20 0.8622 0.0513 0.5852 1
Rb21 0.9225 0.1800 0.3581 1
Rb22 0.9662 0.5513 0.1891 1
Hg1 0.1745 0.1487 0.3232 1
Hg2 0.3255 0.6487 0.9743 1
Hg3 0.6745 0.3513 0.0257 1
Hg4 0.8255 0.8513 0.6768 1
Au1 0.2500 0.7500 0.5000 1
Au2 0.7500 0.2500 0.5000 1

---

# Zn2InIr PBE relaxed
# Symmetry ... No. 123
# ΔE_f ... -24 meV per atom
data_Zn2InIr
_symmetry_space_group_name_H-M 'P 1'
_symmetry_Int_Tables_number 1
_symmetry_space_group_name_Hall 'P 1'
_cell_length_a 3.9862
_cell_length_b 3.9862
_cell_length_c 4.0353
_cell_angle_alpha 90.00
_cell_angle_beta 90.00
_cell_angle_gamma 90.00
loop_
_atom_site_label
_atom_site_fract_x
_atom_site_fract_y
_atom_site_fract_z
_atom_site_occupancy
Zn1 0.0000 0.5000 0.0000 1
Zn2 0.5000 0.0000 0.0000 1
In1 0.0000 0.0000 0.5000 1
Ir1 0.5000 0.5000 0.5000 1

---

# Cs8IBr6 PBE relaxed
# Formation energy without anion corrections ... -1.54 eV per atom
# Symmetry ... No. 147
data_Cs8IBr6
_symmetry_space_group_name_H-M 'P 1'
_symmetry_Int_Tables_number 1
_symmetry_space_group_name_Hall 'P 1'
_cell_length_a 13.2748
_cell_length_b 13.2748
_cell_length_c 5.4763
_cell_angle_alpha 90.00
_cell_angle_beta 90.00
_cell_angle_gamma 120.00
loop_
_atom_site_label
_atom_site_fract_x
_atom_site_fract_y
_atom_site_fract_z
_atom_site_occupancy
Cs1 0.0363 0.7066 0.2592 1
Cs2 0.2934 0.3298 0.2592 1
Cs3 0.3298 0.0363 0.7408 1
Cs4 0.3333 0.6667 0.7472 1
Cs5 0.6667 0.3333 0.2528 1
Cs6 0.6702 0.9637 0.2592 1
Cs7 0.7066 0.6702 0.7408 1
Cs8 0.9637 0.2934 0.7408 1
I1 0.0000 0.0000 0.5000 1
Br1 0.1298 0.4766 0.2434 1
Br2 0.3468 0.8702 0.2434 1
Br3 0.4766 0.3468 0.7566 1
Br4 0.5234 0.6532 0.2434 1
Br5 0.6532 0.1298 0.7566 1
Br6 0.8702 0.5234 0.7566 1

---

Number 1: DOS(E_F) 5.1 states/eV/cell, raw total energy -31.0 eV/f.u., total magnetization 3.0 μB/cell. Number 2: DOS(E_F) 4.0 states/eV/cell, raw total energy -28.8 eV/f.u., total magnetization 0.0 μB/cell. Number 3: DOS(E_F) 6.8 states/eV/cell, raw total energy -18.5 eV/f.u., total magnetization 0.0 μB/cell. Number 4: DOS(E_F) 8.8 states/eV/cell, raw total energy -27.6 eV/f.u., total magnetization 0.0 μB/cell. Number 5: DOS(E_F) 4.5 states/eV/cell, raw total energy -17.2 eV/f.u., total magnetization 0.0 μB/cell. Number 6: DOS(E_F) 3.8 states/eV/cell, raw total energy -36.6 eV/f.u., total magnetization 0.7 μB/cell. Number 7: DOS(E_F) 7.1 states/eV/cell, raw total energy -43.2 eV/f.u., total magnetization 0.0 μB/cell. Number 8: DOS(E_F) 39.9 states/eV/cell, raw total energy -45.2 eV/f.u., total magnetization 0.0 μB/cell. Number 9: DOS(E_F) 8.4 states/eV/cell, raw total energy -23.2 eV/f.u., total magnetization 9.7 μB/cell. Number 10: DOS(E_F) 18.0 states/eV/cell, raw total energy -15.3 eV/f.u., total magnetization 0.0 μB/cell. Number 11: DOS(E_F) 1.5 states/eV/cell, raw total energy -14.2 eV/f.u., total magnetization 0.0 μB/cell. Number 12: DOS(E_F) 2.3 states/eV/cell, raw total energy -41.6 eV/f.u., total magnetization 0.0 μB/cell.